DFT (GGA-PBE) results for an optimized crystal structure of Pd4Pt3Au2.

Calculated values
Symmetry: No. 156
N(E_F) (states/eV/f.u.): 15.83
DFT formation energy (meV per atom): 43
Final energy (eV/atom): -5.007
Energy above the lowest structure with this stoichiometry (meV per atom): 14

Cell: 2.783 2.783 21.796 Å, 90.00 90.00 120.00°
Positions (direct):
Au 0.667 0.333 0.868
Au 0.667 0.333 0.096
Pt 0.000 0.000 0.982
Pt 0.000 0.000 0.328
Pt 0.667 0.333 0.649
Pd 0.667 0.333 0.435
Pd 0.667 0.333 0.221
Pd 0.000 0.000 0.757
Pd 0.000 0.000 0.542